This record from Alexandria via LeMat-Bulk describes Sc2IrPt after structural relaxation. The functional is GGA-PBE.

Properties
- space-group type = No. 166
- ΔH_f (0 K) (eV per atom) = -0.651

a = 8.3303 Å, b = 8.3303 Å, c = 8.3303 Å
α = 22.32°, β = 22.32°, γ = 22.32°
Last column: nearest neighbours and their distance in Å.
Fractional positions:
Sc (0.2502, 0.2502, 0.2502)  3 Ir 2.75, 3 Pt 2.76
Sc (0.7498, 0.7498, 0.7498)  3 Ir 2.75, 3 Pt 2.76
Ir (0.0000, 0.0000, 0.0000)  6 Sc 2.75
Pt (0.5000, 0.5000, 0.5000)  6 Sc 2.76